1.
VASP calculation (PBEsol) on LaSiCl2 after structural relaxation.

Structure (POSCAR):
```
LaSiCl2
1.0
-3.0049 1.2302 1.6311
-2.2230 -0.3474 -3.8334
-1.3890 -5.0698 1.2650
La Cl Si
1 2 1
Cartesian
-2.6140 0.4414 -1.1011
0.0000 0.0000 0.0000
-2.1969 -1.9198 1.4480
-1.8060 -2.7086 -1.2842
```

## Properties
The calculation puts the magnetic moment at 0.000 μB/cell. The energy above the most stable polymorph in this dataset comes out at 0.000 eV/atom. As for the space group: No. 47. The mass density is 4.52 Mg/m³. The total energy comes out at -19.26 eV/cell. For the uncorrected formation energy, the calculation gives -100.1 kJ/mol of atoms.



2.
VASP calculation (PBEsol) on LaSiCl2 after structural relaxation.

Structure (POSCAR):
```
LaSiCl2
1.0
4.5515 0.0000 0.0000
0.0000 4.5515 0.0000
-2.2757 -2.2757 9.4571
Cl Si La
4 2 2
Cartesian
1.1517 3.4136 2.3643
1.1379 1.1241 7.0929
3.3998 1.1379 2.3643
-1.1379 -1.1241 7.0929
2.2757 2.2757 0.0000
2.2757 0.0000 4.7286
0.0000 2.2757 4.7286
0.0000 0.0000 0.0000
```

## Properties
The calculation puts the magnetic moment at 0.011 μB/cell. The energy above the most stable polymorph in this dataset comes out at 0.086 eV/atom. As for the space group: No. 122. The mass density is 4.03 Mg/m³. The total energy comes out at -37.83 eV/cell. For the uncorrected formation energy, the calculation gives -91.8 kJ/mol of atoms.



3.
VASP calculation (PBEsol) on LaSiCl2 after structural relaxation.

Structure (POSCAR):
```
LaSiCl2
1.0
-2.2145 -2.5789 -1.3357
2.9221 -1.9691 0.9605
-2.9859 -1.0384 6.9554
La Cl Si
1 2 1
Cartesian
-1.4281 -0.4966 3.3266
-1.7272 -2.9977 4.6599
-0.2828 -0.0984 0.6589
-0.3331 -2.5128 1.4125
```

## Properties
The calculation puts the magnetic moment at 0.000 μB/cell. The energy above the most stable polymorph in this dataset comes out at 0.195 eV/atom. As for the space group: No. 35. The mass density is 3.96 Mg/m³. The total energy comes out at -18.48 eV/cell. For the uncorrected formation energy, the calculation gives -81.2 kJ/mol of atoms.



4.
VASP calculation (PBEsol) on LaSi2Cl after structural relaxation.

Structure (POSCAR):
```
LaSi2Cl
1.0
-0.6713 3.1382 -2.0878
-1.3972 -2.1767 -2.8227
-5.2087 0.3973 2.2718
Cl Si La
1 2 1
Cartesian
-3.6386 0.6794 -1.3193
-0.6986 -1.0884 -1.4113
-0.3356 1.5691 -1.0439
-2.6044 0.1986 1.1359
```

## Properties
The calculation puts the magnetic moment at 0.000 μB/cell. The energy above the most stable polymorph in this dataset comes out at 0.056 eV/atom. As for the space group: No. 123. The mass density is 4.58 Mg/m³. The total energy comes out at -21.47 eV/cell. For the uncorrected formation energy, the calculation gives -63.3 kJ/mol of atoms.



5.
VASP calculation (PBEsol) on LaSiCl2 after structural relaxation.

Structure (POSCAR):
```
LaSiCl2
1.0
3.6718 0.0000 0.0000
0.0000 4.5870 0.0000
0.0000 0.0000 5.6467
Si Cl La
1 2 1
Cartesian
1.8359 2.2935 3.9118
1.8359 2.2935 1.6032
0.0000 0.0000 0.0506
0.0000 0.0000 2.9044
```

## Properties
The calculation puts the magnetic moment at 0.000 μB/cell. The energy above the most stable polymorph in this dataset comes out at 0.013 eV/atom. As for the space group: No. 25. The mass density is 4.15 Mg/m³. The total energy comes out at -19.21 eV/cell. For the uncorrected formation energy, the calculation gives -98.9 kJ/mol of atoms.



6.
VASP calculation (PBEsol) on LaSi2Cl after structural relaxation.

Structure (POSCAR):
```
LaSi2Cl
1.0
3.8459 0.0000 0.0000
0.0000 4.0904 0.0240
0.0000 -1.9300 5.6139
La Si Cl
1 2 1
Cartesian
1.9230 -0.9206 3.9838
0.0000 0.1279 0.5228
1.9230 2.8933 0.8216
0.0000 1.1400 3.1287
```

## Properties
The calculation puts the magnetic moment at 0.000 μB/cell. The energy above the most stable polymorph in this dataset comes out at 0.000 eV/atom. As for the space group: No. 6. The mass density is 4.33 Mg/m³. The total energy comes out at -21.69 eV/cell. For the uncorrected formation energy, the calculation gives -68.6 kJ/mol of atoms.



7.
VASP calculation (PBEsol) on LaSiCl2 after structural relaxation.

Structure (POSCAR):
```
LaSiCl2
1.0
4.0647 0.0000 0.0000
0.0000 4.0647 0.0000
-2.0323 -2.0323 5.2103
La Cl Si
1 2 1
Cartesian
2.0323 2.0323 0.0000
2.0323 0.0000 2.6052
0.0000 0.0000 0.0000
0.0000 2.0323 2.6052
```

## Properties
The calculation puts the magnetic moment at 0.000 μB/cell. The energy above the most stable polymorph in this dataset comes out at 0.063 eV/atom. As for the space group: No. 119. The mass density is 4.59 Mg/m³. The total energy comes out at -19.01 eV/cell. For the uncorrected formation energy, the calculation gives -94.0 kJ/mol of atoms.



8.
VASP calculation (PBEsol) on LaSi2Cl after structural relaxation.

Structure (POSCAR):
```
LaSi2Cl
1.0
3.7886 0.0753 0.0000
-0.1099 4.0501 0.0000
0.0000 0.0000 6.0139
Cl La Si
1 1 2
Cartesian
-0.0550 2.0251 3.0069
1.8943 0.0377 3.0069
0.9321 0.7468 0.0000
2.7465 3.3787 0.0000
```

## Properties
The calculation puts the magnetic moment at 0.000 μB/cell. The energy above the most stable polymorph in this dataset comes out at 0.175 eV/atom. As for the space group: No. 10. The mass density is 4.15 Mg/m³. The total energy comes out at -20.99 eV/cell. For the uncorrected formation energy, the calculation gives -51.7 kJ/mol of atoms.



9.
VASP calculation (PBEsol) on LaSi2Cl after structural relaxation.

Structure (POSCAR):
```
LaSi2Cl
1.0
-1.6774 2.6492 -1.3612
1.1369 -0.8744 -3.1028
-6.1536 -4.4155 -1.0104
Cl La Si
1 1 2
Cartesian
-3.3445 -2.3998 -0.5492
-4.9206 -2.4494 -2.9956
-1.2062 0.2158 -2.3857
-0.2996 -0.2150 -0.0492
```

## Properties
The calculation puts the magnetic moment at 0.003 μB/cell. The energy above the most stable polymorph in this dataset comes out at 0.092 eV/atom. As for the space group: No. 99. The mass density is 4.29 Mg/m³. The total energy comes out at -21.33 eV/cell. For the uncorrected formation energy, the calculation gives -59.8 kJ/mol of atoms.



10.
VASP calculation (PBEsol) on LaSiCl2 after structural relaxation.

Structure (POSCAR):
```
LaSiCl2
1.0
4.4455 0.0000 0.0000
0.0000 4.4455 0.0000
-2.2227 -2.2227 4.4037
La Cl Si
1 2 1
Cartesian
2.2227 2.2227 0.0000
2.2227 0.0000 2.2019
0.0000 2.2227 2.2019
0.0000 0.0000 0.0000
```

## Properties
The calculation puts the magnetic moment at 0.000 μB/cell. The energy above the most stable polymorph in this dataset comes out at 0.060 eV/atom. As for the space group: No. 139. The mass density is 4.54 Mg/m³. The total energy comes out at -19.02 eV/cell. For the uncorrected formation energy, the calculation gives -94.3 kJ/mol of atoms.



11.
VASP calculation (PBEsol) on La5Sn3Cl after structural relaxation.

Structure (POSCAR):
```
La5Sn3Cl
1.0
-0.7587 6.5824 1.2832
-5.0886 -2.1044 7.7859
9.4671 0.9723 0.6099
Sn La Cl
6 10 2
Cartesian
5.2322 5.5326 1.3362
3.4762 2.0221 0.5570
1.1264 4.4984 4.2135
-3.6872 3.6473 5.7335
-2.1601 0.8307 3.3357
2.4933 0.9519 5.4656
6.8184 2.3653 0.7723
2.6722 4.0987 7.1775
-1.8908 4.3902 2.9848
-0.6161 2.2124 6.0355
4.2358 3.2379 3.6436
-0.2367 -1.0788 5.3939
4.6152 -0.0533 3.0019
0.9476 1.3515 2.5016
1.8900 5.1893 1.1209
-3.9566 0.0878 6.0844
0.0000 0.0000 0.0000
-0.3793 3.2912 0.6416
```

## Properties
The calculation puts the magnetic moment at 0.004 μB/cell. As for the space group: No. 193. The mass density is 6.79 Mg/m³. The total energy comes out at -102.24 eV/cell. For the uncorrected formation energy, the calculation gives -102.9 kJ/mol of atoms.



12.
VASP calculation (PBEsol) on LaSn3Cl after structural relaxation.

Structure (POSCAR):
```
LaSn3Cl
1.0
5.2541 0.0000 0.0000
0.0000 5.2541 0.0000
0.0000 0.0000 5.2541
Sn Cl La
3 1 1
Cartesian
2.6270 0.0000 0.0000
0.0000 0.0000 2.6270
0.0000 2.6270 0.0000
0.0000 0.0000 0.0000
2.6270 2.6270 2.6270
```

## Properties
The calculation puts the magnetic moment at 0.000 μB/cell. As for the space group: No. 221. The mass density is 6.07 Mg/m³. The total energy comes out at -20.69 eV/cell. For the uncorrected formation energy, the calculation gives -10.8 kJ/mol of atoms.